No. 1
DFT (PBE) results for crystalline CeSbN at its relaxed geometry.

Calculated values
- ΔE_f (raw): -2.070 eV/f.u.
- Symmetry: I4mm, No. 107
- Excess energy over the best structure of this formula in the dataset: 429 meV/atom

Cell lengths 3.2445, 3.2445, 6.7528 Å; angles 103.90, 103.90, 90.00 degrees
Sites, in units of the cell vectors:
1 Ce 0.7287 0.7287 0.4574
2 Sb 0.0046 0.0046 0.0092
3 N 0.2667 0.2667 0.5335

No. 2
DFT (PBE) results for crystalline Ce2SbN at its relaxed geometry.

Calculated values
- ΔE_f (raw): -2.833 eV/f.u.
- Symmetry: P4/mmm, No. 123
- Excess energy over the best structure of this formula in the dataset: 544 meV/atom

Cell lengths 3.2197, 3.2197, 7.8245 Å; angles 90.00, 90.00, 90.00 degrees
Sites, in units of the cell vectors:
1 Ce 0.0000 0.0000 0.1853
2 Sb 0.5000 0.5000 0.5000
3 Ce 0.0000 0.0000 0.8147
4 N 0.5000 0.5000 0.0000

No. 3
DFT (PBE) results for crystalline Ce5Sb2N2 at its relaxed geometry.

Calculated values
- ΔE_f (raw): -8.754 eV/f.u.
- Symmetry: C2/m, No. 12

Cell lengths 5.1375, 6.8855, 7.1313 Å; angles 102.91, 90.00, 111.90 degrees
Sites, in units of the cell vectors:
1 Ce 0.0000 0.0000 0.0000
2 Sb 0.5904 0.1808 0.2978
3 N 0.1651 0.3302 0.8953
4 N 0.8349 0.6698 0.1047
5 Ce 0.1500 0.3001 0.5748
6 Ce 0.3297 0.6594 0.1115
7 Ce 0.6703 0.3406 0.8885
8 Ce 0.8500 0.6999 0.4252
9 Sb 0.4096 0.8192 0.7022

No. 4
DFT (PBE) results for crystalline Ce4Sb2SeN2 at its relaxed geometry.

Calculated values
- ΔE_f (raw): -12.474 eV/f.u.
- Symmetry: C2/m, No. 12

Cell lengths 4.0499, 7.5352, 8.0094 Å; angles 111.41, 104.64, 90.00 degrees
Sites, in units of the cell vectors:
1 Ce 0.5332 0.7529 0.0664
2 Se 0.0000 0.0000 0.0000
3 N 0.6757 0.9798 0.3513
4 Ce 0.7858 0.8409 0.5717
5 Ce 0.4668 0.2471 0.9336
6 Ce 0.2142 0.1591 0.4283
7 Sb 0.1326 0.5355 0.2652
8 N 0.3243 0.0202 0.6487
9 Sb 0.8674 0.4645 0.7348

No. 5
DFT (PBE) results for crystalline Ce5Sb2SeN at its relaxed geometry.

Calculated values
- ΔE_f (raw): -10.418 eV/f.u.
- Symmetry: P4/mmm, No. 123

Cell lengths 4.6394, 4.6394, 11.3090 Å; angles 90.00, 90.00, 90.00 degrees
Sites, in units of the cell vectors:
1 Se 0.0000 0.0000 0.0000
2 Ce 0.0000 0.0000 0.2592
3 Ce 0.0000 0.0000 0.7408
4 Sb 0.5000 0.5000 0.7122
5 Ce 0.0000 0.5000 0.5000
6 Ce 0.5000 0.5000 0.0000
7 Ce 0.5000 0.0000 0.5000
8 Sb 0.5000 0.5000 0.2878
9 N 0.0000 0.0000 0.5000

No. 6
DFT (PBE) results for crystalline CeSbSe2N at its relaxed geometry.

Calculated values
- ΔE_f (raw): -4.807 eV/f.u.
- Symmetry: P4/nmm, No. 129

Cell lengths 4.0196, 4.0196, 14.6382 Å; angles 90.00, 90.00, 90.00 degrees
Sites, in units of the cell vectors:
1 Se 0.0000 0.5000 0.6859
2 Sb 0.5000 0.0000 0.1376
3 Ce 0.5000 0.0000 0.5771
4 N 0.5000 0.5000 0.5000
5 Se 0.0000 0.5000 0.1075
6 N 0.0000 0.0000 0.5000
7 Se 0.5000 0.0000 0.8925
8 Sb 0.0000 0.5000 0.8624
9 Se 0.5000 0.0000 0.3141
10 Ce 0.0000 0.5000 0.4229

No. 7
DFT (PBE) results for crystalline Ce2Sm4Sb3N2 at its relaxed geometry.

Calculated values
- ΔE_f (raw): -12.615 eV/f.u.
- Symmetry: I4/mmm, No. 139

Cell lengths 4.7738, 4.7738, 13.2928 Å; angles 100.34, 100.34, 90.00 degrees
Sites, in units of the cell vectors:
1 Sb 0.8232 0.8232 0.6464
2 Sm 0.9177 0.4177 0.8354
3 Sm 0.0823 0.5823 0.1646
4 Ce 0.3080 0.3080 0.6161
5 Sm 0.4177 0.9177 0.8354
6 Sb 0.0000 0.0000 0.0000
7 N 0.3940 0.3940 0.7879
8 N 0.6060 0.6060 0.2121
9 Sm 0.5823 0.0823 0.1646
10 Ce 0.6920 0.6920 0.3839
11 Sb 0.1768 0.1768 0.3536

No. 8
DFT (PBE) results for crystalline Ce2SmSbN2 at its relaxed geometry.

Calculated values
- ΔE_f (raw): -5.753 eV/f.u.
- Symmetry: P4/mmm, No. 123

Cell lengths 4.5312, 4.5312, 6.5974 Å; angles 90.00, 90.00, 90.00 degrees
Sites, in units of the cell vectors:
1 Sb 0.0000 0.0000 0.5000
2 N 0.5000 0.0000 0.0000
3 N 0.0000 0.5000 0.0000
4 Sm 0.0000 0.0000 0.0000
5 Ce 0.5000 0.5000 0.2280
6 Ce 0.5000 0.5000 0.7720

| no. | uncorrected energy (eV/cell) |
| --- | --- |
| 1 | -20.45 |
| 2 | -27.15 |
| 3 | -63.32 |
| 4 | -64.59 |
| 5 | -60.14 |
| 6 | -60.31 |
| 7 | -72.38 |
| 8 | -43.11 |